First-principles (PBE-GGA) data for a relaxed Ga2FeSiHg crystal, as listed in Alexandria.

Cell and atoms, written as extended XYZ:
```
5
Lattice="4.573 0.000 0.000 0.000 5.039 0.000 0.000 0.000 4.573" Properties=species:S:1:pos:R:3 pbc="T T T"
Fe 0.000 0.000 0.000
Ga 0.000 0.000 2.286
Ga 2.286 0.000 0.000
Si 2.286 2.520 2.286
Hg 0.000 2.520 0.000
```

Output
energy	-3.478	eV/atom
DOS at the Fermi energy	0.589	states/eV/atom
symmetry	No. 123

***

First-principles (PBE-GGA) data for a relaxed Ga2FeSnHg crystal, as listed in Alexandria.

Cell and atoms, written as extended XYZ:
```
5
Lattice="-1.878 4.248 -0.530 -3.201 -1.008 3.255 2.970 1.745 3.462" Properties=species:S:1:pos:R:3 pbc="T T T"
Ga -1.600 -0.504 1.627
Ga -0.939 2.124 -0.265
Fe 0.000 0.000 0.000
Hg -1.054 2.492 3.093
Sn 1.485 0.873 1.731
```

Output
DOS at the Fermi energy	0.247	states/eV/atom
symmetry	No. 123
formation energy	-4	meV per atom

***

First-principles (PBE-GGA) data for a relaxed GaFeSn2Hg crystal, as listed in Alexandria.

Cell and atoms, written as extended XYZ:
```
5
Lattice="4.963 0.000 0.000 0.000 4.963 0.000 0.000 0.000 4.711" Properties=species:S:1:pos:R:3 pbc="T T T"
Ga 0.000 0.000 2.355
Sn 2.482 0.000 0.000
Sn 0.000 2.482 0.000
Fe 0.000 0.000 0.000
Hg 2.482 2.482 2.355
```

Output
DOS at the Fermi energy	0.526	states/eV/atom
symmetry	No. 123
formation energy	42	meV per atom

***

First-principles (PBE-GGA) data for a relaxed GaFe2HgTe crystal, as listed in Alexandria.

Cell and atoms, written as extended XYZ:
```
5
Lattice="-3.308 2.484 2.624 -2.064 -4.727 1.872 3.108 0.142 3.784" Properties=species:S:1:pos:R:3 pbc="T T T"
Fe -1.654 1.242 1.312
Fe 1.554 0.071 1.892
Ga -1.132 -1.051 4.140
Te -1.032 -2.364 0.936
Hg 0.000 0.000 0.000
```

Output
energy	-3.441	eV/atom
DOS at the Fermi energy	1.631	states/eV/atom
symmetry	No. 123

***

First-principles (PBE-GGA) data for a relaxed TlGa2FeHg crystal, as listed in Alexandria.

Cell and atoms, written as extended XYZ:
```
5
Lattice="-0.492 -4.580 -2.513 1.819 -2.324 3.878 -4.843 -0.547 1.944" Properties=species:S:1:pos:R:3 pbc="T T T"
Fe 0.910 -1.162 1.939
Ga -2.422 -0.273 0.972
Ga -0.246 -2.290 -1.257
Hg -1.758 -3.725 1.654
Tl 0.000 0.000 0.000
```

Output
DOS at the Fermi energy	1.225	states/eV/atom
symmetry	No. 123
formation energy	967	meV per atom

***

First-principles (PBE-GGA) data for a relaxed HoGa3Fe crystal, as listed in Alexandria.

Cell and atoms, written as extended XYZ:
```
5
Lattice="-0.830 -2.005 -3.974 3.541 -2.747 0.646 -2.697 -2.989 2.072" Properties=species:S:1:pos:R:3 pbc="T T T"
Ga 1.770 -1.374 0.323
Ga -1.349 -1.495 1.036
Ga -0.415 -1.003 -1.987
Fe 0.000 0.000 0.000
Ho 0.007 -3.871 -0.628
```

Output
DOS at the Fermi energy	0.401	states/eV/atom
symmetry	No. 221
formation energy	-271	meV per atom

***

First-principles (PBE-GGA) data for a relaxed HoGa7Fe5 crystal, as listed in Alexandria.

Cell and atoms, written as extended XYZ:
```
13
Lattice="-1.876 -3.287 3.353 2.892 0.507 5.928 -5.145 2.464 3.349" Properties=species:S:1:pos:R:3 pbc="T T T"
Ga -2.127 0.877 7.294
Ga -2.004 -1.162 5.364
Ga -4.299 -1.430 7.629
Ga -1.025 -0.204 3.039
Ga 0.329 -0.781 7.044
Ga -1.713 -2.060 8.459
Ga -4.454 0.384 5.509
Fe 0.508 -1.368 4.632
Fe -3.101 -0.175 9.531
Fe -2.574 1.225 1.697
Fe -3.497 -0.392 3.347
Fe 1.432 0.250 2.982
Ho -2.252 2.946 9.253
```

Output
DOS at the Fermi energy	0.612	states/eV/atom
symmetry	No. 44
formation energy	-296	meV per atom

***

First-principles (PBE-GGA) data for a relaxed Ho4Ga16Fe3 crystal, as listed in Alexandria.

Cell and atoms, written as extended XYZ:
```
23
Lattice="6.011 0.000 0.000 0.000 6.011 0.000 0.000 0.000 11.161" Properties=species:S:1:pos:R:3 pbc="T T T"
Ho 3.005 0.000 2.166
Ho 3.005 0.000 8.996
Ho 0.000 3.005 2.166
Ho 0.000 3.005 8.996
Ga 1.690 4.321 0.000
Ga 4.519 1.492 6.862
Ga 4.519 4.519 6.862
Ga 4.321 1.690 0.000
Ga 3.005 3.005 2.222
Ga 1.492 4.519 4.299
Ga 0.000 0.000 8.749
Ga 1.492 1.492 6.862
Ga 0.000 0.000 2.413
Ga 1.690 1.690 0.000
Ga 1.492 4.519 6.862
Ga 4.519 4.519 4.299
Ga 4.321 4.321 0.000
Ga 4.519 1.492 4.299
Ga 1.492 1.492 4.299
Ga 3.005 3.005 8.939
Fe 0.000 3.005 5.581
Fe 3.005 0.000 5.581
Fe 0.000 0.000 0.000
```

Output
DOS at the Fermi energy	0.516	states/eV/atom
symmetry	No. 123
formation energy	-442	meV per atom

***

First-principles (PBE-GGA) data for a relaxed Ho4Ga12Fe crystal, as listed in Alexandria.

Cell and atoms, written as extended XYZ:
```
17
Lattice="-2.928 4.056 -5.472 4.980 -4.717 -2.813 -5.374 -3.815 3.396" Properties=species:S:1:pos:R:3 pbc="T T T"
Ga 1.468 -0.473 -5.927
Ga 0.928 -2.463 -3.997
Ga 0.316 -4.431 -1.780
Ga -3.638 -0.045 -3.109
Ga -0.112 -2.428 0.166
Ga -4.249 -2.012 -0.892
Ga -2.272 -4.206 -0.227
Ga -0.282 -6.104 0.417
Ga -2.362 0.069 -0.591
Ga -5.939 0.172 -1.485
Ga 0.584 -0.188 -2.358
Ga -1.049 -0.270 -4.661
Ho -1.464 2.028 -2.736
Ho -1.661 -2.238 -2.444
Ho 2.490 -2.358 -1.406
Ho -2.687 -1.907 1.698
Fe 0.000 0.000 0.000
```

Output
DOS at the Fermi energy	0.468	states/eV/atom
symmetry	No. 229
formation energy	-529	meV per atom

***

First-principles (PBE-GGA) data for a relaxed Ho2GaFe crystal, as listed in Alexandria.

Cell and atoms, written as extended XYZ:
```
4
Lattice="3.274 0.000 0.000 1.637 2.836 0.000 1.637 0.945 10.010" Properties=species:S:1:pos:R:3 pbc="T T T"
Ho 4.912 2.836 2.667
Ho 1.637 0.945 7.343
Fe 0.000 0.000 0.000
Ga 3.274 1.890 5.005
```

Output
DOS at the Fermi energy	0.853	states/eV/atom
symmetry	No. 166
formation energy	365	meV per atom

***

First-principles (PBE-GGA) data for a relaxed HoGa6Fe6 crystal, as listed in Alexandria.

Cell and atoms, written as extended XYZ:
```
13
Lattice="5.018 0.000 0.000 2.509 6.051 -0.006 2.509 0.129 6.050" Properties=species:S:1:pos:R:3 pbc="T T T"
Fe 1.254 3.026 -0.003
Fe 3.763 3.026 -0.003
Fe 1.254 0.064 3.025
Fe 5.018 4.613 1.464
Fe 5.018 1.567 4.579
Fe 3.763 0.064 3.025
Ga 2.509 4.077 2.012
Ga 5.018 2.127 2.080
Ga 2.509 1.131 1.106
Ga 2.509 2.103 4.031
Ga 7.527 5.049 4.937
Ga 5.018 4.053 3.963
Ho 0.000 0.000 0.000
```

Output
DOS at the Fermi energy	0.550	states/eV/atom
symmetry	No. 71
formation energy	-314	meV per atom

***

First-principles (PBE-GGA) data for a relaxed HoGa2Fe crystal, as listed in Alexandria.

Cell and atoms, written as extended XYZ:
```
16
Lattice="-0.038 -3.011 2.889 -2.778 -4.267 -4.484 9.141 -2.900 -2.902" Properties=species:S:1:pos:R:3 pbc="T T T"
Ga 3.379 -4.713 -0.348
Ga -0.956 -5.103 -3.825
Ga -1.737 -5.664 -1.406
Ga 2.946 -5.465 -4.150
Ga 1.878 -3.429 -2.042
Ga 8.063 -4.514 -3.092
Ga 4.447 -6.750 -2.456
Ga 7.282 -5.075 -0.673
Ho 0.844 -3.622 0.756
Ho 5.481 -6.556 -5.254
Ho 1.107 -6.280 -2.010
Ho 5.218 -3.898 -2.488
Fe -0.766 -3.285 -1.927
Fe 7.091 -6.894 -2.571
Fe 3.715 -2.132 -0.666
Fe 2.610 -8.046 -3.832
```

Output
DOS at the Fermi energy	0.513	states/eV/atom
symmetry	No. 62
formation energy	-411	meV per atom

***

First-principles (PBE-GGA) data for a relaxed Ho2Ga8Fe crystal, as listed in Alexandria.

Cell and atoms, written as extended XYZ:
```
11
Lattice="-1.881 2.108 -3.129 2.633 -1.772 -2.776 -7.158 -8.453 -1.393" Properties=species:S:1:pos:R:3 pbc="T T T"
Ho -4.974 -5.874 -0.968
Ho -2.184 -2.580 -0.425
Ga -4.520 -3.172 -2.261
Ga -1.767 0.079 -1.725
Ga -4.590 -5.695 -3.919
Ga -5.016 -8.364 -2.620
Ga -7.273 -6.424 -2.797
Ga -2.263 -5.113 -2.084
Ga -1.817 -2.421 -3.380
Ga 0.490 -1.862 -1.549
Fe 0.000 0.000 0.000
```

Output
DOS at the Fermi energy	0.545	states/eV/atom
symmetry	No. 123
formation energy	-442	meV per atom

***

First-principles (PBE-GGA) data for a relaxed HoGaFe crystal, as listed in Alexandria.

Cell and atoms, written as extended XYZ:
```
6
Lattice="-2.711 1.753 -4.121 -5.011 1.474 0.598 -1.080 5.127 -0.433" Properties=species:S:1:pos:R:3 pbc="T T T"
Fe -1.355 0.877 -2.060
Fe 0.000 0.000 0.000
Ho -4.618 3.955 -3.591
Ho -4.183 4.399 -0.364
Ga -3.861 1.614 -1.761
Ga -1.896 3.440 -2.277
```

Output
DOS at the Fermi energy	0.820	states/eV/atom
symmetry	No. 74
formation energy	-357	meV per atom

***

First-principles (PBE-GGA) data for a relaxed HoGa8Fe2 crystal, as listed in Alexandria.

Cell and atoms, written as extended XYZ:
```
11
Lattice="6.207 0.000 0.000 0.000 6.207 0.000 0.000 0.000 5.354" Properties=species:S:1:pos:R:3 pbc="T T T"
Ga 1.313 4.894 1.313
Ga 4.894 4.894 4.041
Ga 4.894 1.313 1.313
Ga 4.894 1.313 4.041
Ga 1.313 1.313 4.041
Ga 4.894 4.894 1.313
Ga 1.313 1.313 1.313
Ga 1.313 4.894 4.041
Fe 3.104 0.000 0.000
Fe 0.000 3.104 0.000
Ho 3.104 3.104 2.677
```

Output
DOS at the Fermi energy	0.808	states/eV/atom
symmetry	No. 123
formation energy	-14	meV per atom

***

First-principles (PBE-GGA) data for a relaxed Ho2GaFe crystal, as listed in Alexandria.

Cell and atoms, written as extended XYZ:
```
4
Lattice="-3.284 -0.354 0.865 0.255 -3.380 -0.413 1.836 -0.679 6.695" Properties=species:S:1:pos:R:3 pbc="T T T"
Ho 0.419 -0.155 1.529
Ho 1.417 -0.524 5.166
Ga -0.596 -2.207 3.574
Fe -1.514 -1.867 0.226
```

Output
DOS at the Fermi energy	0.710	states/eV/atom
symmetry	No. 123
formation energy	-229	meV per atom

***

First-principles (PBE-GGA) data for a relaxed HoGa4Fe crystal, as listed in Alexandria.

Cell and atoms, written as extended XYZ:
```
12
Lattice="3.978 0.000 0.000 0.000 6.741 0.000 0.000 0.000 7.598" Properties=species:S:1:pos:R:3 pbc="T T T"
Ga 1.989 6.425 5.699
Ga 1.989 2.143 7.078
Ga 1.989 4.598 0.521
Ga 1.989 0.315 1.900
Ga 1.989 4.598 3.278
Ga 0.000 0.000 0.000
Ga 0.000 0.000 3.799
Ga 1.989 2.143 4.320
Fe 0.000 1.312 5.699
Fe 0.000 5.429 1.900
Ho 0.000 4.198 5.699
Ho 0.000 2.543 1.900
```

Output
DOS at the Fermi energy	0.493	states/eV/atom
symmetry	No. 51
formation energy	-410	meV per atom

***

First-principles (PBE-GGA) data for a relaxed HoGa4Fe crystal, as listed in Alexandria.

Cell and atoms, written as extended XYZ:
```
12
Lattice="-1.317 0.582 -4.474 4.637 -3.930 -1.876 -6.238 -4.016 3.780" Properties=species:S:1:pos:R:3 pbc="T T T"
Ga 0.847 -0.718 -0.343
Ga 1.858 -3.932 -3.527
Ga -2.381 -5.462 -0.012
Ga -0.537 -1.902 -2.558
Ga -4.776 -3.432 0.957
Ga 0.904 -3.722 -0.754
Ga 3.790 -3.212 -1.533
Ga -3.822 -3.642 -1.816
Fe -4.261 -5.828 1.678
Fe 1.344 -1.536 -4.247
Ho -1.018 -5.003 -2.821
Ho -1.899 -2.361 0.251
```

Output
DOS at the Fermi energy	0.294	states/eV/atom
symmetry	No. 71
formation energy	-306	meV per atom

***

First-principles (PBE-GGA) data for a relaxed Ho6GaFe2 crystal, as listed in Alexandria.

Cell and atoms, written as extended XYZ:
```
18
Lattice="1.350 -1.795 -7.962 6.681 -1.604 4.609 -6.156 -4.651 2.985" Properties=species:S:1:pos:R:3 pbc="T T T"
Fe -1.838 -2.465 -1.903
Fe -2.199 -5.663 0.473
Fe -2.969 -3.981 -3.074
Fe 4.073 -2.387 -0.842
Ho 4.852 -3.630 -3.325
Ho -2.978 -4.419 2.957
Ho 2.742 -5.290 4.203
Ho 2.548 -2.982 1.401
Ho 2.742 -5.281 -1.096
Ho 2.459 -1.911 -5.187
Ho -0.868 -2.768 0.728
Ho -0.585 -6.138 4.819
Ho -0.867 -2.760 -4.572
Ho 0.484 -5.884 1.511
Ho 1.391 -2.165 -1.880
Ho -0.674 -5.068 -1.769
Ga 0.000 0.000 0.000
Ga 0.262 -3.127 3.797
```

Output
DOS at the Fermi energy	1.026	states/eV/atom
symmetry	No. 71
formation energy	-180	meV per atom

***

First-principles (PBE-GGA) data for a relaxed Ho2GaFe crystal, as listed in Alexandria.

Cell and atoms, written as extended XYZ:
```
4
Lattice="4.909 0.000 0.000 2.455 4.251 0.000 2.455 1.417 4.008" Properties=species:S:1:pos:R:3 pbc="T T T"
Ho 2.455 1.417 1.002
Ho 7.364 4.251 3.006
Ga 4.909 2.834 2.004
Fe 0.000 0.000 0.000
```

Output
DOS at the Fermi energy	1.639	states/eV/atom
symmetry	No. 225
formation energy	-195	meV per atom

***

First-principles (PBE-GGA) data for a relaxed HoGa3Fe crystal, as listed in Alexandria.

Cell and atoms, written as extended XYZ:
```
10
Lattice="5.422 0.000 0.000 0.000 6.130 0.000 0.000 -3.065 5.308" Properties=species:S:1:pos:R:3 pbc="T T T"
Ga 1.356 -1.315 4.298
Ga 1.356 0.000 2.021
Ga 4.067 3.065 3.288
Ga 1.356 1.315 4.298
Ga 4.067 4.380 1.010
Ga 4.067 1.750 1.010
Ho 4.067 0.000 3.539
Ho 1.356 3.065 1.769
Fe 2.711 0.000 0.000
Fe 0.000 0.000 0.000
```

Output
DOS at the Fermi energy	0.689	states/eV/atom
symmetry	No. 194
formation energy	-380	meV per atom

***

First-principles (PBE-GGA) data for a relaxed HoGa2Fe crystal, as listed in Alexandria.

Cell and atoms, written as extended XYZ:
```
4
Lattice="-1.527 3.790 -0.076 -1.214 1.643 -3.539 -5.475 -0.012 -0.486" Properties=species:S:1:pos:R:3 pbc="T T T"
Ho -4.108 2.711 -2.051
Ga -1.537 1.562 -1.107
Ga -6.679 3.859 -2.995
Fe 0.000 0.000 0.000
```

Output
DOS at the Fermi energy	0.649	states/eV/atom
symmetry	No. 166
formation energy	-324	meV per atom

***

First-principles (PBE-GGA) data for a relaxed HoGaFe crystal, as listed in Alexandria.

Cell and atoms, written as extended XYZ:
```
6
Lattice="3.257 0.000 0.000 0.000 6.110 0.484 0.000 -0.055 6.129" Properties=species:S:1:pos:R:3 pbc="T T T"
Ho 0.000 4.361 4.763
Ho 0.000 1.694 1.851
Ga 1.629 1.302 4.887
Ga 1.629 4.753 1.727
Fe 1.629 3.028 3.307
Fe 0.000 0.000 0.000
```

Output
DOS at the Fermi energy	0.885	states/eV/atom
symmetry	No. 65
formation energy	94	meV per atom